Crystalline YAgSnPd at its relaxed geometry, computed with GGA-PBE.

a b c (Å): 4.887 4.887 4.887
angles (deg): 60.00 60.00 60.00
Fractional positions:
Ag  0.000  0.000  0.000
Pd  0.250  0.250  0.250
Sn  0.500  0.500  0.500
Y  0.750  0.750  0.750

Values from the calculation:
- energy above the most stable polymorph in this dataset (meV/atom) = 134
- total energy (eV/cell) = -20.48

=====

Crystalline YAgSnPd at its relaxed geometry, computed with GGA-PBE.

a b c (Å): 4.872 4.872 4.872
angles (deg): 60.00 60.00 60.00
Fractional positions:
Ag  0.500  0.500  0.500
Pd  0.000  0.000  0.000
Sn  0.250  0.250  0.250
Y  0.750  0.750  0.750

Values from the calculation:
- energy above the most stable polymorph in this dataset (meV/atom) = 0
- total energy (eV/cell) = -21.02

=====

Crystalline YAgSnPd at its relaxed geometry, computed with GGA-PBE.

a b c (Å): 4.911 4.911 4.911
angles (deg): 60.00 60.00 60.00
Fractional positions:
Ag  0.250  0.250  0.250
Pd  0.000  0.000  0.000
Sn  0.500  0.500  0.500
Y  0.750  0.750  0.750

Values from the calculation:
- energy above the most stable polymorph in this dataset (meV/atom) = 159
- total energy (eV/cell) = -20.38

=====

Crystalline SrAg3Pd2 at its relaxed geometry, computed with GGA-PBE.

a b c (Å): 5.599 5.599 4.588
angles (deg): 90.00 90.00 120.00
Fractional positions:
Ag  0.500  0.000  0.500
Ag  0.000  0.500  0.500
Ag  0.500  0.500  0.500
Pd  0.667  0.333  0.000
Pd  0.333  0.667  0.000
Sr  0.000  0.000  0.000

Values from the calculation:
- total energy (eV/cell) = -22.50

=====

Crystalline SrAgPd2 at its relaxed geometry, computed with GGA-PBE.

a b c (Å): 4.850 4.850 4.850
angles (deg): 60.00 60.00 60.00
Fractional positions:
Ag  0.500  0.500  0.500
Pd  0.000  0.000  0.000
Pd  0.250  0.250  0.250
Sr  0.750  0.750  0.750

Values from the calculation:
- total energy (eV/cell) = -15.76

=====

Crystalline Sr2AgPd2 at its relaxed geometry, computed with GGA-PBE.

a b c (Å): 5.904 5.904 8.511
angles (deg): 102.55 102.55 59.38
Fractional positions:
Ag  0.154  0.846  0.250
Ag  0.846  0.154  0.750
Pd  0.270  0.997  0.002
Pd  0.003  0.730  0.498
Pd  0.997  0.270  0.502
Pd  0.730  0.003  0.998
Sr  0.795  0.504  0.150
Sr  0.496  0.205  0.350
Sr  0.504  0.795  0.650
Sr  0.205  0.496  0.850

Values from the calculation:
- total energy (eV/cell) = -38.56

=====

Crystalline Ta2AgPd at its relaxed geometry, computed with GGA-PBE.

a b c (Å): 4.607 4.607 4.607
angles (deg): 60.00 60.00 60.00
Last column: magnetic moment on the atom in μB.
Fractional positions:
Ag  0.750  0.750  0.750  0.08
Pd  0.000  0.000  0.000  0.20
Ta  0.250  0.250  0.250  0.57
Ta  0.500  0.500  0.500  0.74

Values from the calculation:
- total energy (eV/cell) = -30.52
- energy of formation (eV/atom) = 0.297

=====

Crystalline TaAgPd at its relaxed geometry, computed with GGA-PBE.

a b c (Å): 4.385 4.385 4.385
angles (deg): 60.00 60.00 60.00
Fractional positions:
Ag  0.250  0.250  0.250
Pd  0.750  0.750  0.750
Ta  0.000  0.000  0.000

Values from the calculation:
- energy above the most stable polymorph in this dataset (meV/atom) = 160
- total energy (eV/cell) = -18.00
- energy of formation (eV/atom) = 0.616

=====

Number 8 is which compound?
TaAgPd

=====

Which formula does entry 4 have?
SrAg3Pd2